1.
Material: LuZnFeBi
Method: DFT, PBE
State: optimized geometry

Summary:
As for the space group: F-43m (216).

Cell: 4.861 4.861 4.861 Å, 60.00 60.00 60.00°
Fractional positions:
Lu  0.000  0.000  0.000
Zn  0.750  0.750  0.750
Fe  0.500  0.500  0.500
Bi  0.250  0.250  0.250

2.
Material: PrNdSbI2
Method: DFT, PBE
State: optimized geometry

Summary:
As for the space group: P3m1 (156).

Cell: 4.490 4.490 11.588 Å, 90.00 90.00 120.00°
Fractional positions:
Pr  0.000  0.000  0.000
Nd  0.667  0.333  0.695
Sb  0.333  0.667  0.846
I  0.000  0.000  0.522
I  0.667  0.333  0.173

3.
Material: SrTh
Method: DFT, PBE
State: optimized geometry

Summary:
As for the space group: F-43m (216).

Cell: 5.306 5.306 5.306 Å, 60.00 60.00 60.00°
Fractional positions:
Sr  0.000  0.000  0.000
Th  0.750  0.750  0.750

4.
Material: Ta4SiAsC2
Method: DFT, PBE
State: optimized geometry

Summary:
As for the space group: P-6m2 (187).

Cell: 3.291 3.291 12.064 Å, 90.00 90.00 120.00°
Fractional positions:
Ta  0.000  0.000  0.153
Ta  0.000  0.000  0.847
Ta  0.333  0.667  0.344
Ta  0.333  0.667  0.656
Si  0.333  0.667  0.000
As  0.000  0.000  0.500
C  0.667  0.333  0.249
C  0.667  0.333  0.751

5.
Material: RbPOsO
Method: DFT, PBE
State: optimized geometry

Summary:
As for the space group: P4/nmm (129).

Cell: 4.246 4.246 8.059 Å, 90.00 90.00 90.00°
Fractional positions:
Rb  0.250  0.750  0.000
Rb  0.750  0.250  0.000
P  0.250  0.250  0.302
P  0.750  0.750  0.698
Os  0.250  0.250  0.579
Os  0.750  0.750  0.421
O  0.250  0.750  0.500
O  0.750  0.250  0.500

6.
Material: PrB2Pt3
Method: DFT, PBE
State: optimized geometry

Summary:
As for the space group: P6/mmm (191).

Cell: 5.568 5.568 3.283 Å, 90.00 90.00 120.00°
Fractional positions:
Pr  0.000  0.000  0.000
B  0.333  0.667  0.000
B  0.667  0.333  0.000
Pt  0.000  0.500  0.500
Pt  0.500  0.000  0.500
Pt  0.500  0.500  0.500

7.
Material: Tm2Lu2C7
Method: DFT, PBE
State: optimized geometry

Summary:
As for the space group: P-1 (2).

Cell: 3.461 3.556 11.393 Å, 82.14 85.68 89.78°
Fractional positions:
Tm  0.024  0.277  0.358
Tm  0.976  0.723  0.642
Lu  0.420  0.139  0.856
Lu  0.580  0.861  0.144
C  0.000  0.500  0.000
C  0.092  0.360  0.112
C  0.470  0.215  0.664
C  0.495  0.664  0.460
C  0.505  0.336  0.540
C  0.530  0.785  0.336
C  0.908  0.640  0.888

8.
Material: La2ErMg3Tl2Cd
Method: DFT, PBE
State: optimized geometry

Summary:
As for the space group: Amm2 (38).

Cell: 4.759 7.674 7.674 Å, 118.86 90.00 90.00°
Fractional positions:
La  0.000  0.211  0.789
La  0.000  0.789  0.211
Er  0.000  0.635  0.635
Mg  0.500  0.216  0.453
Mg  0.500  0.453  0.216
Mg  0.500  0.977  0.977
Tl  0.500  0.550  0.871
Tl  0.500  0.871  0.550
Cd  0.000  0.226  0.226

| no. | electronic total energy (eV per atom) |
| --- | --- |
| 1 | -4.423 |
| 2 | -4.690 |
| 3 | -2.150 |
| 4 | -10.044 |
| 5 | -4.965 |
| 6 | -6.573 |
| 7 | -7.755 |
| 8 | -3.084 |